An optimized crystal structure of Hf2MoP2. Source: Alexandria, functional PBE.

Calculated values
D(E_F), states/eV per atom: 0.361
E, eV per atom: -9.26

```
data_Hf2MoP2
_chemical_formula_sum 'Hf4 Mo2 P4'
_cell_length_a 6.669
_cell_length_b 6.669
_cell_length_c 3.624
_cell_angle_alpha 90.00
_cell_angle_beta 90.00
_cell_angle_gamma 90.00
_symmetry_space_group_name_H-M 'P 4/m b m'
_symmetry_Int_Tables_number 127
_symmetry_space_group_name_Hall '-P 4 2ab'
loop_
_atom_site_label
_atom_site_fract_x
_atom_site_fract_y
_atom_site_fract_z
Hf1 0.161 0.339 0.000
Mo1 0.000 0.000 0.500
P1 0.144 0.644 0.500
```